KFe: relaxed, PBE-GGA.

Calculated values
distance to the lowest polymorph of the same formula: 346 meV/atom
symmetry: No. 176
spin magnetization: 2.9 μB/f.u.

a b c (Å): 14.0047 14.0047 3.0094
angles (deg): 90.00 90.00 120.00
Last column: nearest neighbours and their distance in Å.
Fractional coordinates of all 12 atoms:
K1 0.1824 0.7447 0.2500  2 K 3.01, 2 Fe 3.25-3.27
K2 0.2553 0.4377 0.2500  2 K 3.01, 2 Fe 3.25-3.27
K3 0.4377 0.1824 0.7500  2 K 3.01, 2 Fe 3.25-3.27
K4 0.5623 0.8176 0.2500  2 K 3.01, 2 Fe 3.25-3.27
K5 0.7447 0.5623 0.7500  2 K 3.01, 2 Fe 3.25-3.27
K6 0.8176 0.2553 0.7500  2 K 3.01, 2 Fe 3.25-3.27
Fe1 0.0439 0.4750 0.2500  2 Fe 2.27
Fe2 0.4311 0.9561 0.2500  2 Fe 2.27
Fe3 0.4750 0.4311 0.7500  2 Fe 2.27
Fe4 0.5250 0.5689 0.2500  2 Fe 2.27
Fe5 0.5689 0.0439 0.7500  2 Fe 2.27
Fe6 0.9561 0.5250 0.7500  2 Fe 2.27